A relaxed HfNpNb crystal. Source: the Alexandria database, functional GGA-PBE.

Properties
theoretical density	13788	kg/m³
energy above the most stable polymorph in this dataset	0.000	eV per atom
Fermi-level density of states	7.154	states/eV/cell
energy relative to the elements	0.355	eV per atom

The structure in POSCAR format:
```
HfNpNb
1.0
-1.4334 2.2566 -2.1568
-3.0954 -0.7215 1.3024
2.8726 2.9900 3.9544
Np Nb Hf
1 1 1
Cartesian
0.3604 2.2270 2.0905
-1.7326 4.0531 2.6570
-2.1228 1.6427 0.3944
```

=====

A relaxed MnP2SCl crystal. Source: the Alexandria database, functional GGA-PBE.

Properties
theoretical density	3482	kg/m³
energy above the most stable polymorph in this dataset	0.114	eV per atom
Fermi-level density of states	3.152	states/eV/cell
uncorrected formation energy	0.5056	eV per atom

The structure in POSCAR format:
```
MnP2SCl
1.0
4.4862 0.0000 0.0000
0.0000 4.4862 0.0000
0.0000 0.0000 4.3693
P Mn Cl S
2 1 1 1
Cartesian
2.2431 0.0000 0.0000
0.0000 2.2431 0.0000
0.0000 0.0000 0.0000
0.0000 0.0000 2.1846
2.2431 2.2431 2.1846
```